(1)
This record from Alexandria describes a geometry-optimized TiRuAu3 structure. The functional is PBE-GGA.

Computed properties:
For the energy above the lowest structure with this stoichiometry, the calculation gives 0 meV per atom. The final energy is -4.194 eV per atom. As for the crystal system: cubic.

Cell lengths 4.9677, 4.9677, 4.9677 Å; angles 90.00, 90.00, 90.00 degrees
With the nearest neighbours (Å) after each atom.
Space group Pm-3m (No. 221)
Asymmetric unit:
Ti 0.0000 0.0000 0.0000 (multiplicity 1)  12 Au 3.51
Ru 0.5000 0.5000 0.5000 (multiplicity 1)  6 Au 2.48
Au 0.0000 0.5000 0.5000 (multiplicity 3)  2 Ru 2.48

(2)
This record from Alexandria describes a geometry-optimized TiTlRuAu2 structure. The functional is PBE-GGA.

Computed properties:
The final energy is -3.955 eV per atom. As for the crystal system: tetragonal.

Cell lengths 4.8989, 4.8989, 5.2643 Å; angles 90.00, 90.00, 90.00 degrees
With the nearest neighbours (Å) after each atom.
Space group P4/mmm (No. 123)
Asymmetric unit:
Ti 0.0000 0.0000 0.0000 (multiplicity 1)  4 Au 2.45, 2 Tl 2.63
Tl 0.0000 0.0000 0.5000 (multiplicity 1)  2 Ti 2.63
Ru 0.5000 0.5000 0.5000 (multiplicity 1)  4 Tl 3.46, 8 Au 3.60
Au 0.0000 0.5000 0.0000 (multiplicity 2)  2 Ti 2.45

(3)
This record from Alexandria describes a geometry-optimized TiVRuAu2 structure. The functional is PBE-GGA.

Computed properties:
The final energy is -5.453 eV per atom. As for the crystal system: tetragonal.

Cell lengths 4.8977, 4.8977, 4.3448 Å; angles 90.00, 90.00, 90.00 degrees
With the nearest neighbours (Å) after each atom.
Space group P4/mmm (No. 123)
Asymmetric unit:
Ti 0.0000 0.0000 0.0000 (multiplicity 1)  2 Ru 2.17
V 0.5000 0.5000 0.5000 (multiplicity 1)  8 Au 3.27, 4 Ru 3.46
Ru 0.0000 0.0000 0.5000 (multiplicity 1)  2 Ti 2.17
Au 0.0000 0.5000 0.0000 (multiplicity 2)  2 Ti 2.45